The following is a GGA-PBE calculation of a geometry-optimized La3InRu structure, from the Alexandria database.

## Properties
- Uncorrected energy: -5.713 eV/atom
- Energy relative to the lowest polymorph listed for this composition: 63.1 meV per atom
- ΔH_f (0 K): -170.8 kJ/mol of formula units

Unit cell a=5.803 b=6.878 c=9.163 alpha=109.10 beta=89.88 gamma=114.79
Sites, in units of the cell vectors:
Ru  0.873  0.738  0.072
Ru  0.127  0.262  0.928
In  0.604  0.209  0.455
In  0.396  0.791  0.545
La  0.891  0.782  0.772
La  0.619  0.243  0.910
La  0.156  0.314  0.651
La  0.381  0.757  0.090
La  0.109  0.218  0.228
La  0.844  0.686  0.349